1.
Computed, not measured: a relaxed La6Pr12Nd crystal at the PBE level of DFT.

Lattice parameters (Å, degrees): 8.874 8.874 8.874 89.60 89.60 89.60
Atoms (fractional coordinates):
Pr  0.362  0.020  0.186
La  0.301  0.736  0.905
La  0.905  0.301  0.736
Pr  0.638  0.980  0.814
La  0.264  0.095  0.699
La  0.095  0.699  0.264
Pr  0.980  0.814  0.638
Nd  0.000  0.000  0.000
Pr  0.186  0.362  0.020
Pr  0.564  0.219  0.467
Pr  0.533  0.436  0.781
Pr  0.467  0.564  0.219
Pr  0.814  0.638  0.980
Pr  0.020  0.186  0.362
La  0.699  0.264  0.095
Pr  0.781  0.533  0.436
Pr  0.219  0.467  0.564
Pr  0.436  0.781  0.533
La  0.736  0.905  0.301

Spin magnetization ... 0.00 μB per formula unit
Energy of formation ... 0.108 eV per atom
Space group ... R-3, No. 148
ΔE to the lowest computed polymorph ... 0.094 eV per atom

2.
Computed, not measured: a relaxed La2Pr4Nd3 crystal at the PBE level of DFT.

Lattice parameters (Å, degrees): 3.699 3.699 27.782 90.00 90.00 120.00
Atoms (fractional coordinates):
Nd  0.667  0.333  0.653
La  0.667  0.333  0.872
Nd  0.000  0.000  0.984
Pr  0.000  0.000  0.543
Pr  0.667  0.333  0.217
Nd  0.000  0.000  0.323
Pr  0.000  0.000  0.761
La  0.667  0.333  0.091
Pr  0.667  0.333  0.434

Spin magnetization ... 0.00 μB per formula unit
Energy of formation ... 0.058 eV per atom
Space group ... P3m1, No. 156
ΔE to the lowest computed polymorph ... 0.041 eV per atom

- Which of these has the lowest energy of formation?
  La2Pr4Nd3

Copy entry 1 word for word.
Computed, not measured: a relaxed La6Pr12Nd crystal at the PBE level of DFT.

Lattice parameters (Å, degrees): 8.874 8.874 8.874 89.60 89.60 89.60
Atoms (fractional coordinates):
Pr  0.362  0.020  0.186
La  0.301  0.736  0.905
La  0.905  0.301  0.736
Pr  0.638  0.980  0.814
La  0.264  0.095  0.699
La  0.095  0.699  0.264
Pr  0.980  0.814  0.638
Nd  0.000  0.000  0.000
Pr  0.186  0.362  0.020
Pr  0.564  0.219  0.467
Pr  0.533  0.436  0.781
Pr  0.467  0.564  0.219
Pr  0.814  0.638  0.980
Pr  0.020  0.186  0.362
La  0.699  0.264  0.095
Pr  0.781  0.533  0.436
Pr  0.219  0.467  0.564
Pr  0.436  0.781  0.533
La  0.736  0.905  0.301

Spin magnetization ... 0.00 μB per formula unit
Energy of formation ... 0.108 eV per atom
Space group ... R-3, No. 148
ΔE to the lowest computed polymorph ... 0.094 eV per atom

Please write out number 2 again, unchanged.
Computed, not measured: a relaxed La2Pr4Nd3 crystal at the PBE level of DFT.

Lattice parameters (Å, degrees): 3.699 3.699 27.782 90.00 90.00 120.00
Atoms (fractional coordinates):
Nd  0.667  0.333  0.653
La  0.667  0.333  0.872
Nd  0.000  0.000  0.984
Pr  0.000  0.000  0.543
Pr  0.667  0.333  0.217
Nd  0.000  0.000  0.323
Pr  0.000  0.000  0.761
La  0.667  0.333  0.091
Pr  0.667  0.333  0.434

Spin magnetization ... 0.00 μB per formula unit
Energy of formation ... 0.058 eV per atom
Space group ... P3m1, No. 156
ΔE to the lowest computed polymorph ... 0.041 eV per atom

- ΔE to the lowest computed polymorph of number 1 (La6Pr12Nd)?
  0.094 eV per atom